FeNi2Te | PBE | relaxed

Output
E_form (uncorrected): 0.16 eV per atom
DOS at the Fermi energy: 6.05 states/eV/f.u.
VASP energy: -5.634 eV/atom
Total magnetic moment: 2.88 μB/cell

a = 4.6073 Å, b = 4.6073 Å, c = 3.8115 Å
α = 65.56°, β = 65.56°, γ = 48.89°
Last column: nearest neighbours and their distance in Å.
Sites, in units of the cell vectors:
1 Fe 0.7500 0.7500 0.7499  8 Ni 2.67-2.70, 4 Te 2.67
2 Ni 0.0000 0.0000 0.0000  4 Fe 2.67, 4 Ni 2.67, 4 Te 2.70
3 Ni 0.2500 0.2500 0.2500  4 Te 2.67, 4 Ni 2.67, 4 Fe 2.70
4 Te 0.5000 0.5000 0.5001  4 Fe 2.67, 8 Ni 2.67-2.70

=====

FeNi2Te | PBE | relaxed

Output
E_form (uncorrected): 0.18 eV per atom
DOS at the Fermi energy: 3.88 states/eV/f.u.
VASP energy: -5.609 eV/atom
Total magnetic moment: 3.58 μB/cell

a = 3.2984 Å, b = 3.3026 Å, c = 5.2544 Å
α = 90.00°, β = 90.00°, γ = 90.00°
Last column: nearest neighbours and their distance in Å.
Sites, in units of the cell vectors:
1 Fe 0.5000 0.5000 0.7500  2 Te 2.63, 8 Ni 2.63
2 Te 0.5000 0.5000 0.2500  2 Fe 2.63, 8 Ni 2.73
3 Ni 0.0000 0.0000 0.9798  1 Ni 2.41, 4 Fe 2.63
4 Ni 0.0000 0.0000 0.5202  1 Ni 2.41, 4 Fe 2.63